{"formula": "KTlAgCl3", "functional": "PBE", "state": "optimized geometry", "dos_at_fermi_per_ev_cell": 0.00, "e_form_raw_ev_per_atom": -1.128, "lattice_angstrom": [[-1.7454, -3.8425, 1.2083], [7.9497, -2.2888, 4.2047], [-4.3463, 4.3417, 7.5288]], "species": ["Tl", "Cl", "Cl", "Tl", "K", "Cl", "Cl", "Ag", "Cl", "K", "Ag", "Cl"], "fractional_positions": [[0.2500, 0.1732, 0.1910], [0.7500, 0.2044, 0.5065], [0.2500, 0.7956, 0.4935], [0.7500, 0.8268, 0.8090], [0.7500, 0.3571, 0.8307], [0.7500, 0.4009, 0.1547], [0.2500, 0.1133, 0.8571], [0.2500, 0.0851, 0.5899], [0.7500, 0.8867, 0.1429], [0.2500, 0.6429, 0.1693], [0.7500, 0.9149, 0.4101], [0.2500, 0.5991, 0.8453]]}